[1]
An optimized crystal structure of Be3NbHg, computed with GGA-PBE.

Cell: 7.8469 7.8469 4.8966 Å, 90.00 90.00 120.00°
Space group P6_3/mmc (No. 194)
Inequivalent atoms, fractional coordinates:
Be  0.1586  0.3171  0.2500 (multiplicity 6)
Nb  0.0000  0.0000  0.0000 (multiplicity 2)
Hg  0.3333  0.6667  0.2500 (multiplicity 2)

=====

[2]
An optimized crystal structure of Be2NbHg, computed with GGA-PBE.

Cell: 6.239 6.239 6.239 Å, 90.00 90.00 90.00°
Space group F-43m (No. 216)
Inequivalent atoms, fractional coordinates:
Be  0.000  0.000  0.000 (multiplicity 4)
Be  0.250  0.250  0.250 (multiplicity 4)
Nb  0.000  0.000  0.500 (multiplicity 4)
Hg  0.250  0.250  0.750 (multiplicity 4)

=====

For reference, size of the total moment by record: 0.18 0.94 μB/f.u..
For reference, electronic total energy by record: -3.01 -3.81 eV per atom.